(1)
# Si2HgP | Alexandria | GGA-PBE | relaxed
# * excess energy over the best structure of this formula in the dataset: 0.029 eV/atom
# * energy: -3.86 eV per atom
# * formation energy (no corrections): 6.521 kcal/mol of atoms
# * space group: Pm
data_Si2HgP
_chemical_formula_sum 'Si2 Hg1 P1'
_space_group_name_H-M_alt 'P 1'
_space_group_IT_number 1
_cell_length_a 3.497
_cell_length_b 4.430
_cell_length_c 5.246
_cell_angle_alpha 71.11
_cell_angle_beta 90.00
_cell_angle_gamma 90.00
loop_
_space_group_symop_operation_xyz
'x,y,z'
loop_
_atom_site_label
_atom_site_type_symbol
_atom_site_fract_x
_atom_site_fract_y
_atom_site_fract_z
Hg1 Hg 0.000 0.489 0.501
P1 P 0.500 0.748 0.826
Si1 Si 0.000 0.985 0.994
Si2 Si 0.500 0.278 0.179


(2)
# LiAl2Pd4 | Alexandria | GGA-PBE | relaxed
# * excess energy over the best structure of this formula in the dataset: 0.000 eV/atom
# * energy: -4.98 eV per atom
# * space group: I4/mmm
# * E_form: -0.67 eV/atom
data_LiAl2Pd4
_chemical_formula_sum 'Li1 Al2 Pd4'
_space_group_name_H-M_alt 'P 1'
_space_group_IT_number 1
_cell_length_a 5.152
_cell_length_b 5.152
_cell_length_c 5.152
_cell_angle_alpha 109.28
_cell_angle_beta 109.57
_cell_angle_gamma 109.57
loop_
_space_group_symop_operation_xyz
'x,y,z'
loop_
_atom_site_label
_atom_site_type_symbol
_atom_site_fract_x
_atom_site_fract_y
_atom_site_fract_z
Li1 Li 0.000 0.000 0.000
Al1 Al 0.500 0.500 0.000
Al2 Al 0.500 0.000 0.500
Pd1 Pd 0.500 0.000 0.000
Pd2 Pd 0.500 0.500 0.500
Pd3 Pd 0.000 0.000 0.500
Pd4 Pd 0.000 0.500 0.000


(3)
# Nd7Ho2Sc | Alexandria | GGA-PBE | relaxed
# * energy: -4.23 eV per atom
# * space group: Cmmm
# * E_form: 0.65 eV/atom
data_Nd7Ho2Sc
_chemical_formula_sum 'Nd7 Ho2 Sc1'
_space_group_name_H-M_alt 'P 1'
_space_group_IT_number 1
_cell_length_a 5.375
_cell_length_b 9.600
_cell_length_c 9.600
_cell_angle_alpha 125.05
_cell_angle_beta 90.00
_cell_angle_gamma 90.00
loop_
_space_group_symop_operation_xyz
'x,y,z'
loop_
_atom_site_label
_atom_site_type_symbol
_atom_site_fract_x
_atom_site_fract_y
_atom_site_fract_z
Nd1 Nd 0.000 0.800 0.200
Nd2 Nd 0.000 0.200 0.800
Nd3 Nd 0.500 0.071 0.287
Nd4 Nd 0.500 0.929 0.713
Nd5 Nd 0.500 0.287 0.071
Nd6 Nd 0.500 0.713 0.929
Nd7 Nd 0.500 0.500 0.500
Ho1 Ho 0.500 0.705 0.295
Ho2 Ho 0.500 0.295 0.705
Sc1 Sc 0.000 0.000 0.000